(a)
## K2CaAu2 (PBE-GGA)

Data for a geometry-optimized K2CaAu2 structure.

POSCAR file:
```
K2CaAu2
1.0
7.941 0.000 0.000
0.000 7.941 0.000
0.000 0.000 5.229
K Ca Au
4 2 4
Direct
0.164 0.336 0.000
0.336 0.836 0.000
0.664 0.164 0.000
0.836 0.664 0.000
0.000 0.000 0.500
0.500 0.500 0.500
0.129 0.629 0.500
0.371 0.129 0.500
0.629 0.871 0.500
0.871 0.371 0.500
```

Values from the calculation:
**Size of the total moment**: 0.0 μB/f.u.

=====

(b)
## K2CaAu2 (PBE-GGA)

Data for a geometry-optimized K2CaAu2 structure.

POSCAR file:
```
K2CaAu2
1.0
4.585 0.000 0.000
0.000 4.585 0.000
0.000 0.000 15.094
K Ca Au
4 2 4
Direct
0.000 0.500 0.250
0.000 0.500 0.750
0.500 0.000 0.250
0.500 0.000 0.750
0.000 0.000 0.000
0.500 0.500 0.500
0.000 0.000 0.410
0.000 0.000 0.590
0.500 0.500 0.090
0.500 0.500 0.910
```

Values from the calculation:
**Size of the total moment**: 0.0 μB/f.u.

=====

(a) is the most stable structure; the next one sits 0.108 eV/atom above it.

=====

(a)
## KNaCa2Au (PBE-GGA)

Data for a geometry-optimized KNaCa2Au structure.

POSCAR file:
```
KNaCa2Au
1.0
5.816 0.000 0.000
0.000 5.816 0.000
0.000 0.000 6.024
K Na Ca Au
1 1 2 1
Direct
0.000 0.000 0.000
0.500 0.500 0.000
0.000 0.500 0.500
0.500 0.000 0.500
0.500 0.500 0.500
```

Values from the calculation:
**Size of the total moment**: 0.0 μB/f.u.

=====

(b)
## KNaCa2Au (PBE-GGA)

Data for a geometry-optimized KNaCa2Au structure.

POSCAR file:
```
KNaCa2Au
1.0
5.811 0.000 0.000
0.000 5.811 0.000
0.000 0.000 6.403
K Na Ca Au
1 1 2 1
Direct
0.000 0.000 0.000
0.500 0.500 0.000
0.000 0.500 0.500
0.500 0.000 0.500
0.000 0.000 0.500
```

Values from the calculation:
**Size of the total moment**: 0.0 μB/f.u.

=====

(a) is the most stable structure; the next one sits 0.038 eV/atom above it.

=====

(a)
## Ca2LaAu (PBE-GGA)

Data for a geometry-optimized Ca2LaAu structure.

POSCAR file:
```
Ca2LaAu
1.0
4.163 0.000 0.000
0.000 4.314 0.000
0.000 0.000 15.612
Ca La Au
4 2 2
Direct
0.000 0.000 0.000
0.000 0.500 0.500
0.500 0.000 0.352
0.500 0.500 0.852
0.000 0.000 0.706
0.000 0.500 0.206
0.500 0.000 0.145
0.500 0.500 0.645
```

Values from the calculation:
**Size of the total moment**: 0.3 μB/f.u.

=====

(b)
## Ca2LaAu (PBE-GGA)

Data for a geometry-optimized Ca2LaAu structure.

POSCAR file:
```
Ca2LaAu
1.0
9.445 0.000 0.000
0.000 9.445 0.000
0.000 0.000 6.314
Ca La Au
8 4 4
Direct
0.165 0.250 0.125
0.250 0.665 0.375
0.250 0.835 0.875
0.335 0.250 0.625
0.665 0.750 0.625
0.750 0.165 0.875
0.750 0.335 0.375
0.835 0.750 0.125
0.000 0.000 0.500
0.000 0.500 0.750
0.500 0.000 0.250
0.500 0.500 0.000
0.000 0.000 0.000
0.000 0.500 0.250
0.500 0.000 0.750
0.500 0.500 0.500
```

Values from the calculation:
**Size of the total moment**: 0.0 μB/f.u.

=====

(c)
## Ca2LaAu (PBE-GGA)

Data for a geometry-optimized Ca2LaAu structure.

POSCAR file:
```
Ca2LaAu
1.0
5.514 0.000 0.000
0.000 5.514 0.000
0.000 0.000 7.814
Ca La Au
4 2 2
Direct
0.000 0.000 0.000
0.000 0.500 0.250
0.500 0.000 0.750
0.500 0.500 0.500
0.000 0.000 0.500
0.500 0.500 0.000
0.000 0.500 0.750
0.500 0.000 0.250
```

Values from the calculation:
**Size of the total moment**: 0.0 μB/f.u.

=====

(a) is the most stable structure; the next one sits 0.142 eV/atom above it.

=====

(a)
## Ca2LaAu (PBE-GGA)

Data for a geometry-optimized Ca2LaAu structure.

POSCAR file:
```
Ca2LaAu
1.0
3.840 0.000 0.000
0.000 5.718 0.000
0.000 0.000 11.893
Ca La Au
4 2 2
Direct
0.000 0.000 0.000
0.000 0.500 0.196
0.500 0.000 0.696
0.500 0.500 0.500
0.000 0.500 0.803
0.500 0.000 0.303
0.000 0.000 0.500
0.500 0.500 0.000
```

Values from the calculation:
**Size of the total moment**: 0.0 μB/f.u.

=====

(b)
## Ca2LaAu (PBE-GGA)

Data for a geometry-optimized Ca2LaAu structure.

POSCAR file:
```
Ca2LaAu
1.0
7.656 0.000 0.000
0.000 10.538 0.000
0.000 0.000 6.603
Ca La Au
8 4 4
Direct
0.179 0.063 0.166
0.179 0.437 0.166
0.321 0.563 0.666
0.321 0.937 0.666
0.679 0.063 0.334
0.679 0.437 0.334
0.821 0.563 0.834
0.821 0.937 0.834
0.033 0.250 0.637
0.467 0.750 0.137
0.533 0.250 0.863
0.967 0.750 0.363
0.114 0.750 0.932
0.386 0.250 0.432
0.614 0.750 0.568
0.886 0.250 0.068
```

Values from the calculation:
**Size of the total moment**: 0.0 μB/f.u.

=====

(c)
## Ca2LaAu (PBE-GGA)

Data for a geometry-optimized Ca2LaAu structure.

POSCAR file:
```
Ca2LaAu
1.0
3.735 0.000 0.000
0.000 3.735 0.000
0.000 0.000 9.627
Ca La Au
2 1 1
Direct
0.000 0.000 0.000
0.500 0.500 0.314
0.000 0.000 0.629
0.500 0.500 0.816
```

Values from the calculation:
**Size of the total moment**: 0.1 μB/f.u.

=====

(d)
## Ca2LaAu (PBE-GGA)

Data for a geometry-optimized Ca2LaAu structure.

POSCAR file:
```
Ca2LaAu
1.0
3.663 0.000 0.000
0.000 3.663 0.000
0.000 0.000 9.411
Ca La Au
2 1 1
Direct
0.000 0.000 0.186
0.000 0.000 0.814
0.500 0.500 0.500
0.500 0.500 0.000
```

Values from the calculation:
**Size of the total moment**: 0.0 μB/f.u.

=====

(b) is the most stable structure; the next one sits 0.035 eV/atom above it.

=====

(a)
## Ca2LaAu (PBE-GGA)

Data for a geometry-optimized Ca2LaAu structure.

POSCAR file:
```
Ca2LaAu
1.0
6.725 0.000 0.000
0.000 11.644 0.000
-1.721 0.000 3.211
Ca La Au
4 2 2
Direct
0.250 0.250 0.000
0.250 0.750 0.000
0.750 0.250 0.000
0.750 0.750 0.000
0.000 0.000 0.500
0.500 0.500 0.500
0.000 0.500 0.500
0.500 0.000 0.500
```

Values from the calculation:
**Size of the total moment**: 0.0 μB/f.u.

=====

(b)
## Ca2LaAu (PBE-GGA)

Data for a geometry-optimized Ca2LaAu structure.

POSCAR file:
```
Ca2LaAu
1.0
4.659 0.000 0.000
0.000 4.659 0.000
0.000 0.000 11.273
Ca La Au
4 2 2
Direct
0.000 0.500 0.250
0.000 0.500 0.750
0.500 0.000 0.250
0.500 0.000 0.750
0.000 0.000 0.000
0.500 0.500 0.500
0.000 0.000 0.500
0.500 0.500 0.000
```

Values from the calculation:
**Size of the total moment**: 0.0 μB/f.u.

=====

(b) is the most stable structure; the next one sits 0.079 eV/atom above it.

=====

(a)
## Ca2LaAu (PBE-GGA)

Data for a geometry-optimized Ca2LaAu structure.

POSCAR file:
```
Ca2LaAu
1.0
3.986 0.000 0.000
0.000 10.334 0.000
-1.988 0.000 6.460
Ca La Au
4 2 2
Direct
0.140 0.066 0.280
0.140 0.434 0.280
0.860 0.566 0.720
0.860 0.934 0.720
0.426 0.250 0.851
0.574 0.750 0.149
0.251 0.750 0.502
0.749 0.250 0.498
```

Values from the calculation:
**Size of the total moment**: 0.2 μB/f.u.

=====

(b)
## Ca2LaAu (PBE-GGA)

Data for a geometry-optimized Ca2LaAu structure.

POSCAR file:
```
Ca2LaAu
1.0
3.900 0.000 0.000
-1.950 3.378 0.000
0.000 0.000 31.340
Ca La Au
6 3 3
Direct
0.000 0.000 0.229
0.000 0.000 0.771
0.333 0.667 0.438
0.333 0.667 0.896
0.667 0.333 0.104
0.667 0.333 0.562
0.000 0.000 0.000
0.333 0.667 0.667
0.667 0.333 0.333
0.000 0.000 0.500
0.333 0.667 0.167
0.667 0.333 0.833
```

Values from the calculation:
**Size of the total moment**: 0.0 μB/f.u.

=====

(a) is the most stable structure; the next one sits 0.112 eV/atom above it.

=====

(a)
## Ca2LaAu (PBE-GGA)

Data for a geometry-optimized Ca2LaAu structure.

POSCAR file:
```
Ca2LaAu
1.0
4.692 0.000 0.000
0.000 4.692 0.000
0.000 0.000 5.521
Ca La Au
2 1 1
Direct
0.000 0.500 0.000
0.500 0.000 0.000
0.000 0.000 0.500
0.500 0.500 0.500
```

Values from the calculation:
**Size of the total moment**: 0.0 μB/f.u.

=====

(b)
## Ca2LaAu (PBE-GGA)

Data for a geometry-optimized Ca2LaAu structure.

POSCAR file:
```
Ca2LaAu
1.0
3.897 0.000 0.000
-1.948 3.375 0.000
0.000 0.000 31.274
Ca La Au
6 3 3
Direct
0.000 0.000 0.000
0.000 0.000 0.208
0.333 0.667 0.667
0.333 0.667 0.874
0.667 0.333 0.333
0.667 0.333 0.541
0.000 0.000 0.438
0.333 0.667 0.104
0.667 0.333 0.771
0.000 0.000 0.604
0.333 0.667 0.270
0.667 0.333 0.937
```

Values from the calculation:
**Size of the total moment**: 0.0 μB/f.u.

=====

(c)
## Ca2LaAu (PBE-GGA)

Data for a geometry-optimized Ca2LaAu structure.

POSCAR file:
```
Ca2LaAu
1.0
7.714 0.000 0.000
0.000 7.714 0.000
0.000 0.000 7.714
Ca La Au
8 4 4
Direct
0.250 0.250 0.250
0.250 0.250 0.750
0.250 0.750 0.250
0.250 0.750 0.750
0.750 0.250 0.250
0.750 0.250 0.750
0.750 0.750 0.250
0.750 0.750 0.750
0.000 0.000 0.000
0.000 0.500 0.500
0.500 0.000 0.500
0.500 0.500 0.000
0.000 0.000 0.500
0.000 0.500 0.000
0.500 0.000 0.000
0.500 0.500 0.500
```

Values from the calculation:
**Size of the total moment**: 0.1 μB/f.u.

=====

(d)
## Ca2LaAu (PBE-GGA)

Data for a geometry-optimized Ca2LaAu structure.

POSCAR file:
```
Ca2LaAu
1.0
4.074 0.000 0.000
-2.037 3.528 0.000
0.000 0.000 30.787
Ca La Au
6 3 3
Direct
0.000 0.000 0.000
0.000 0.000 0.226
0.333 0.667 0.667
0.333 0.667 0.893
0.667 0.333 0.333
0.667 0.333 0.560
0.000 0.000 0.456
0.333 0.667 0.122
0.667 0.333 0.789
0.000 0.000 0.727
0.333 0.667 0.393
0.667 0.333 0.060
```

Values from the calculation:
**Size of the total moment**: 0.2 μB/f.u.

=====

(d) is the most stable structure; the next one sits 0.009 eV/atom above it.

=====

(a)
## Ca2LaAu2 (PBE-GGA)

Data for a geometry-optimized Ca2LaAu2 structure.

POSCAR file:
```
Ca2LaAu2
1.0
8.739 0.000 0.000
0.000 8.739 0.000
0.000 0.000 3.433
Ca La Au
4 2 4
Direct
0.131 0.369 0.000
0.369 0.869 0.000
0.631 0.131 0.000
0.869 0.631 0.000
0.000 0.000 0.000
0.500 0.500 0.000
0.168 0.668 0.500
0.332 0.168 0.500
0.668 0.832 0.500
0.832 0.332 0.500
```

Values from the calculation:
**Size of the total moment**: 0.3 μB/f.u.

=====

(b)
## Ca2LaAu2 (PBE-GGA)

Data for a geometry-optimized Ca2LaAu2 structure.

POSCAR file:
```
Ca2LaAu2
1.0
4.582 0.000 0.000
0.000 4.582 0.000
0.000 0.000 13.668
Ca La Au
4 2 4
Direct
0.000 0.500 0.250
0.000 0.500 0.750
0.500 0.000 0.250
0.500 0.000 0.750
0.000 0.000 0.000
0.500 0.500 0.500
0.000 0.000 0.397
0.000 0.000 0.603
0.500 0.500 0.103
0.500 0.500 0.897
```

Values from the calculation:
**Size of the total moment**: 0.0 μB/f.u.

=====

(b) is the most stable structure; the next one sits 0.015 eV/atom above it.

=====

(a)
## Ca2LaAu2 (PBE-GGA)

Data for a geometry-optimized Ca2LaAu2 structure.

POSCAR file:
```
Ca2LaAu2
1.0
8.018 0.000 0.000
0.000 8.018 0.000
0.000 0.000 4.414
Ca La Au
4 2 4
Direct
0.161 0.339 0.000
0.339 0.839 0.000
0.661 0.161 0.000
0.839 0.661 0.000
0.000 0.000 0.500
0.500 0.500 0.500
0.133 0.633 0.500
0.367 0.133 0.500
0.633 0.867 0.500
0.867 0.367 0.500
```

Values from the calculation:
**Size of the total moment**: 0.0 μB/f.u.

=====

(b)
## Ca2LaAu2 (PBE-GGA)

Data for a geometry-optimized Ca2LaAu2 structure.

POSCAR file:
```
Ca2LaAu2
1.0
5.231 0.000 0.000
0.000 5.119 0.000
-0.015 0.000 11.077
Ca La Au
4 2 4
Direct
0.249 0.250 0.330
0.250 0.250 0.005
0.750 0.750 0.995
0.751 0.750 0.670
0.251 0.250 0.664
0.749 0.750 0.336
0.249 0.750 0.491
0.251 0.750 0.837
0.749 0.250 0.163
0.751 0.250 0.509
```

Values from the calculation:
**Size of the total moment**: 0.0 μB/f.u.

=====

(a) is the most stable structure; the next one sits 0.014 eV/atom above it.

=====

(a)
## CaLa3Au (PBE-GGA)

Data for a geometry-optimized CaLa3Au structure.

POSCAR file:
```
CaLa3Au
1.0
5.930 0.000 0.000
0.000 5.930 0.000
0.000 0.000 5.930
Ca La Au
1 3 1
Direct
0.000 0.000 0.000
0.000 0.500 0.500
0.500 0.000 0.500
0.500 0.500 0.000
0.500 0.500 0.500
```

Values from the calculation:
**Size of the total moment**: 2.5 μB/f.u.

=====

(b)
## CaLa3Au (PBE-GGA)

Data for a geometry-optimized CaLa3Au structure.

POSCAR file:
```
CaLa3Au
1.0
5.743 0.000 0.000
0.000 5.743 0.000
0.000 0.000 5.743
Ca La Au
1 3 1
Direct
0.000 0.000 0.000
0.000 0.000 0.500
0.000 0.500 0.000
0.500 0.000 0.000
0.500 0.500 0.500
```

Values from the calculation:
**Size of the total moment**: 0.0 μB/f.u.

=====

(a) is the most stable structure; the next one sits 0.896 eV/atom above it.